# 1
Computed, not measured: a geometry-optimized Li5SmAu2 structure at the PBE level of DFT.

```
Li5SmAu2
1.0
3.817 0.000 1.264
1.432 6.197 2.071
-0.092 -0.418 6.675
Li Sm Au
5 1 2
Cartesian
0.670 2.889 4.373
3.260 3.188 2.948
1.898 2.591 7.063
2.463 5.046 5.354
2.694 0.733 4.656
0.000 0.000 0.000
3.820 4.446 7.653
1.337 1.333 2.357
```

Computed properties:
**ρ**: 5.965 g cm⁻³
**ΔH_f (0 K)**: -0.388 eV per atom
**VASP energy**: -2.993 eV per atom

# 2
Computed, not measured: a geometry-optimized Sr14MnBi11 structure at the PBE level of DFT.

```
Sr14MnBi11
1.0
-9.028 9.028 11.830
9.028 -9.028 11.830
9.028 9.028 -11.830
Sr Mn Bi
56 4 44
Cartesian
8.633 6.754 2.967
-2.605 4.514 8.872
5.846 8.260 -7.038
2.871 12.288 5.143
2.605 4.514 -2.957
4.514 2.605 14.787
8.260 3.183 -1.123
0.395 2.274 14.796
-2.871 3.259 12.601
12.288 2.871 6.686
5.769 6.158 -0.771
11.899 -3.259 5.143
0.395 6.754 2.948
2.274 8.633 -2.948
11.634 4.514 -2.957
-0.395 6.754 14.778
-3.259 11.899 6.686
3.259 2.871 11.058
-6.754 9.423 8.863
11.899 5.769 0.771
5.769 -2.871 6.686
0.395 15.783 2.967
3.183 -0.769 16.621
5.846 -0.769 12.953
6.158 5.769 12.601
2.871 3.259 0.771
12.211 -0.769 1.123
5.846 9.797 4.791
-0.395 2.274 2.967
3.183 0.769 4.791
2.274 -0.395 8.863
9.423 2.274 2.948
-0.395 11.302 2.948
6.423 4.514 8.872
2.274 9.423 8.881
6.754 8.633 8.863
9.797 5.846 7.038
8.260 -3.183 10.706
-2.274 8.633 8.881
14.797 2.871 -0.771
0.769 5.846 10.706
-0.769 3.183 18.868
8.260 5.846 -4.791
3.183 9.797 1.123
3.259 6.158 6.686
-4.514 6.423 14.787
-2.871 5.769 5.143
6.754 9.423 -2.967
6.754 0.395 8.881
4.514 6.423 2.957
5.846 0.769 1.123
-5.769 6.158 11.058
13.543 2.605 2.957
0.769 3.183 7.038
6.158 3.259 5.143
9.797 3.183 10.706
9.028 0.000 5.915
0.000 9.028 5.915
0.000 0.000 0.000
0.000 0.000 11.830
-2.424 6.605 11.830
4.986 -2.372 9.991
2.424 2.424 17.744
4.042 11.400 -1.838
-2.372 14.015 4.076
2.424 6.605 0.000
4.042 2.372 7.753
6.657 -4.042 13.668
2.474 -0.072 1.431
4.986 2.372 -1.838
0.000 9.028 0.000
4.986 6.657 -4.076
8.956 6.555 10.399
2.474 8.956 4.484
8.956 2.474 7.346
9.100 -2.474 7.346
2.474 0.072 13.260
-0.072 6.555 7.346
9.100 -6.555 10.399
0.000 0.000 17.744
6.555 8.956 1.431
-2.424 2.424 5.915
15.583 0.072 1.431
9.028 0.000 0.000
9.100 6.555 -1.431
2.372 13.070 1.838
0.000 0.000 5.915
2.372 4.042 4.076
6.657 4.042 1.838
-4.986 6.657 7.753
4.042 6.657 9.991
11.502 0.072 4.484
4.986 11.400 7.753
2.424 -2.424 5.915
0.072 11.502 7.346
6.605 2.424 11.830
-2.474 9.100 4.484
-0.072 2.474 10.399
2.372 4.986 13.668
-2.372 4.042 15.906
11.400 4.986 4.076
11.452 2.424 0.000
6.605 6.605 5.915
6.555 -0.072 4.484
```

Computed properties:
**ρ**: 6.166 g cm⁻³
**ΔH_f (0 K)**: -0.858 eV per atom
**VASP energy**: -3.759 eV per atom

# 3
Computed, not measured: a geometry-optimized AcSn6Te8 structure at the PBE level of DFT.

```
AcSn6Te8
1.0
-3.138 3.604 -0.659
-0.469 -2.409 -10.944
-7.130 -4.906 7.132
Ac Sn Te
1 6 8
Cartesian
-1.569 1.802 -0.329
-3.296 0.194 -6.826
-6.358 -2.352 -6.168
-4.702 -0.346 -3.081
-7.442 -3.906 2.356
-4.380 -1.359 1.698
-6.035 -3.365 -1.389
-4.753 -0.770 -9.228
-7.840 -2.429 -3.594
-2.848 1.940 -3.479
-5.985 -2.941 4.759
-2.898 -1.282 -0.876
-7.890 -5.651 -0.991
-7.254 -1.382 0.615
-3.484 -2.329 -5.085
```

Computed properties:
**ρ**: 6.194 g cm⁻³
**VASP energy**: -3.937 eV per atom
**Formation energy (no corrections)**: -5.790 eV per formula unit

# 4
Computed, not measured: a geometry-optimized AgP2CO structure at the PBE level of DFT.

```
AgP2CO
1.0
-1.070 -3.434 -2.028
2.843 -2.130 2.105
-2.434 -0.741 2.539
P C O Ag
2 1 1 1
Cartesian
1.422 -1.065 1.053
-0.535 -1.717 -1.014
0.000 0.000 0.000
-1.217 -0.370 1.269
-0.331 -3.152 1.308
```

Computed properties:
**ρ**: 5.359 g cm⁻³
**Distance to the lowest polymorph of the same formula**: 0 meV per atom
**VASP energy**: -4.482 eV per atom
**Formation energy (no corrections)**: 5.443 eV per formula unit

# 5
Computed, not measured: a geometry-optimized OsRuIO2 structure at the PBE level of DFT.

```
OsRuIO2
1.0
-2.193 1.036 2.870
-2.802 -2.082 -1.390
2.159 -5.278 3.555
I Ru Os O
1 1 1 2
Cartesian
1.080 -2.639 1.778
0.000 0.000 0.000
-1.418 -3.162 2.518
-1.401 -1.041 -0.695
-1.097 0.518 1.435
```

Computed properties:
**ρ**: 7.879 g cm⁻³
**Distance to the lowest polymorph of the same formula**: 403 meV per atom
**VASP energy**: -5.838 eV per atom
**Formation energy (no corrections)**: 2.784 eV per formula unit

# 6
Computed, not measured: a geometry-optimized LaSm4Y5 structure at the PBE level of DFT.

```
LaSm4Y5
1.0
-5.896 2.231 -0.481
-3.739 0.596 7.041
-0.418 7.967 0.523
La Sm Y
1 4 5
Cartesian
-1.309 0.495 -0.107
-4.183 6.694 2.994
-7.613 6.986 4.830
-1.905 3.606 2.297
-5.334 3.898 4.132
-6.512 9.325 2.788
-4.749 5.870 6.705
-4.683 4.690 0.428
-2.921 1.235 4.345
-4.008 1.517 -0.327
```

Computed properties:
**ρ**: 5.771 g cm⁻³
**ΔH_f (0 K)**: 0.286 eV per atom
**VASP energy**: -5.327 eV per atom

# 7
Computed, not measured: a geometry-optimized KBP2PbO8 structure at the PBE level of DFT.

```
KBP2PbO8
1.0
7.190 0.020 -0.029
-0.074 7.190 -0.029
3.353 3.397 7.210
K B P Pb O
2 2 4 2 16
Cartesian
2.452 3.612 1.878
5.257 4.198 5.483
6.921 1.878 3.561
3.464 8.644 7.166
0.946 7.176 1.856
5.867 3.666 1.725
8.839 2.738 5.462
5.265 7.613 5.330
4.455 7.321 1.599
8.939 6.249 5.204
1.526 6.135 2.818
2.083 0.894 1.274
5.000 4.853 2.096
5.075 2.496 1.136
2.543 3.793 4.879
6.464 6.762 5.702
4.106 6.805 4.742
7.792 3.305 6.423
6.962 8.017 2.497
7.263 6.518 0.693
6.725 3.218 2.991
7.028 4.052 0.709
8.100 9.047 4.298
4.807 8.466 6.596
5.636 8.779 4.314
9.602 8.765 6.102
```

Computed properties:
**ρ**: 3.968 g cm⁻³
**VASP energy**: -6.963 eV per atom
**Formation energy (no corrections)**: -28.552 eV per formula unit

# 8
Computed, not measured: a geometry-optimized ZnAg2GeO4 structure at the PBE level of DFT.

```
ZnAg2GeO4
1.0
-3.552 -1.307 3.483
3.449 -2.971 2.402
1.231 5.501 -0.479
Zn Ag Ge O
1 2 1 4
Cartesian
-0.630 2.613 4.136
2.870 1.783 3.596
0.556 1.585 1.160
0.505 -0.553 4.106
0.567 1.143 3.546
-1.170 -1.153 3.941
1.627 -1.528 3.116
1.098 3.605 -0.067
```

Computed properties:
**ρ**: 6.049 g cm⁻³
**VASP energy**: -4.929 eV per atom
**Formation energy (no corrections)**: -8.005 eV per formula unit

These records have total magnetic moment values of 0.00; 16.64; 0.00; 0.00; 1.02; 0.00; 0.00; 0.00 Bohr magnetons per cell, in the order they appear.